Record 1
Density functional theory data (SCAN) for Al2CuAu at its PBEsol-relaxed geometry.

It has space group P4mm (No. 99), with a = 2.8378 Å, b = 2.8378 Å, c = 7.3931 Å, α = 90.00°, β = 90.00° and γ = 90.00°. The inequivalent atoms are Al at (0.0000, 0.0000, 0.0000), Al at (0.5000, 0.5000, 0.2781), Cu at (0.5000, 0.5000, 0.7864) and Au at (0.0000, 0.0000, 0.5302).

The calculation puts the total DFT energy (no corrections) at -25.155 eV/atom. The formation enthalpy at 0 K is -18.3 kJ/mol of atoms.

---

Record 2
Density functional theory data (SCAN) for AlCuAu2 at its PBEsol-relaxed geometry.

It has space group I-4m2 (No. 119), with a = 3.7938 Å, b = 3.7938 Å, c = 8.2677 Å, α = 90.00°, β = 90.00° and γ = 90.00°. The inequivalent atoms are Al at (0.0000, 0.0000, 0.0000), Cu at (0.0000, 0.5000, 0.7500), Au at (0.0000, 0.0000, 0.5000) and Au at (0.0000, 0.5000, 0.2500).

The calculation puts the total DFT energy (no corrections) at -40.685 eV/atom. The formation enthalpy at 0 K is -35.6 kJ/mol of atoms.

---

Record 3
Density functional theory data (SCAN) for AlCuAu2 at its PBEsol-relaxed geometry.

It has space group C2/m (No. 12), with a = 8.7550 Å, b = 3.0505 Å, c = 4.7070 Å, α = 90.00°, β = 104.49° and γ = 90.00°. The inequivalent atoms are Al at (0.0000, 0.0000, 0.0000), Cu at (0.0000, 0.5000, 0.5000) and Au at (0.2446, 0.5000, 0.2488).

The calculation puts the total DFT energy (no corrections) at -40.577 eV/atom. The formation enthalpy at 0 K is -25.2 kJ/mol of atoms.

---

Record 4
Density functional theory data (SCAN) for La2Al6CuAu at its PBEsol-relaxed geometry.

It has space group P4mm (No. 99), with a = 4.2911 Å, b = 4.2911 Å, c = 10.7540 Å, α = 90.00°, β = 90.00° and γ = 90.00°. The inequivalent atoms are La at (0.0000, 0.0000, 0.0000), La at (0.5000, 0.5000, 0.4926), Al at (0.0000, 0.0000, 0.3984), Al at (0.0000, 0.5000, 0.2458), Al at (0.0000, 0.5000, 0.7572), Al at (0.5000, 0.5000, 0.9113), Cu at (0.5000, 0.5000, 0.1340) and Au at (0.0000, 0.0000, 0.6303).

The calculation puts the total DFT energy (no corrections) at -22.404 eV/atom. The formation enthalpy at 0 K is -67.2 kJ/mol of atoms.

---

Record 5
Density functional theory data (SCAN) for ErAlAu at its PBEsol-relaxed geometry.

It has space group Pnma (No. 62), with a = 7.0418 Å, b = 4.3955 Å, c = 7.6602 Å, α = 90.00°, β = 90.00° and γ = 90.00°. The inequivalent atoms are Er at (0.0089, 0.2500, 0.1956), Al at (0.1722, 0.2500, 0.5775) and Au at (0.2149, 0.7500, 0.4040).

The calculation puts the total DFT energy (no corrections) at -43.480 eV/atom. The formation enthalpy at 0 K is -102.6 kJ/mol of atoms.

---

Record 6
Density functional theory data (SCAN) for ErAl7Au3 at its PBEsol-relaxed geometry.

It has space group R-3c (No. 167, hexagonal axes), with a = 7.9883 Å, b = 7.9883 Å, c = 20.8974 Å, α = 90.00°, β = 90.00° and γ = 120.00°. The inequivalent atoms are Er at (0.0000, 0.0000, 0.0000), Al at (0.0000, 0.0000, 0.2500), Al at (0.0105, 0.2078, 0.1368) and Au at (0.0000, 0.3250, 0.2500).

The calculation puts the total DFT energy (no corrections) at -29.094 eV/atom. The formation enthalpy at 0 K is -69.9 kJ/mol of atoms.

---

Record 7
Density functional theory data (SCAN) for Eu2Al3Au6 at its PBEsol-relaxed geometry.

It has space group R-3c (No. 167, hexagonal axes), with a = 8.2995 Å, b = 8.2995 Å, c = 21.6097 Å, α = 90.00°, β = 90.00° and γ = 120.00°. The inequivalent atoms are Eu at (0.0000, 0.0000, 0.0895), Al at (0.0000, 0.1956, 0.2500) and Au at (0.0170, 0.3703, 0.3494).

The calculation puts the total DFT energy (no corrections) at -50.473 eV/atom. The formation enthalpy at 0 K is -84.1 kJ/mol of atoms.

---

Record 8
Density functional theory data (SCAN) for EuAlAu at its PBEsol-relaxed geometry.

It has space group Pnma (No. 62), with a = 7.3820 Å, b = 4.5560 Å, c = 7.6811 Å, α = 90.00°, β = 90.00° and γ = 90.00°. The inequivalent atoms are Eu at (0.0160, 0.2500, 0.1812), Al at (0.1564, 0.2500, 0.5716) and Au at (0.2037, 0.7500, 0.3912).

The calculation puts the total DFT energy (no corrections) at -44.429 eV/atom. The formation enthalpy at 0 K is -85.8 kJ/mol of atoms.

---

Record 9
Density functional theory data (SCAN) for AlFe2Au at its PBEsol-relaxed geometry.

It has space group P4/mmm (No. 123), with a = 2.7098 Å, b = 2.7098 Å, c = 7.2003 Å, α = 90.00°, β = 90.00° and γ = 90.00°. The inequivalent atoms are Al at (0.0000, 0.0000, 0.0000), Fe at (0.5000, 0.5000, 0.2314) and Au at (0.0000, 0.0000, 0.5000).

The calculation puts the total DFT energy (no corrections) at -28.424 eV/atom. The formation enthalpy at 0 K is -12.8 kJ/mol of atoms.

---

Record 10
Density functional theory data (SCAN) for Al2FeAu at its PBEsol-relaxed geometry.

It has space group Pmm2 (No. 25), with a = 2.9236 Å, b = 3.6603 Å, c = 5.3405 Å, α = 90.00°, β = 90.00° and γ = 90.00°. The inequivalent atoms are Al at (0.0000, 0.0000, 0.0000), Al at (0.5000, 0.5000, 0.2899), Fe at (0.5000, 0.5000, 0.8157) and Au at (0.0000, 0.0000, 0.5144).

The calculation puts the total DFT energy (no corrections) at -26.029 eV/atom. The formation enthalpy at 0 K is -32.0 kJ/mol of atoms.

---

Record 11
Density functional theory data (SCAN) for AlFe2Au at its PBEsol-relaxed geometry.

It has space group P4mm (No. 99), with a = 3.0089 Å, b = 3.0089 Å, c = 5.8380 Å, α = 90.00°, β = 90.00° and γ = 90.00°. The inequivalent atoms are Al at (0.0000, 0.0000, 0.0000), Fe at (0.0000, 0.0000, 0.5632), Fe at (0.5000, 0.5000, 0.7640) and Au at (0.5000, 0.5000, 0.2757).

The calculation puts the total DFT energy (no corrections) at -28.588 eV/atom. The formation enthalpy at 0 K is -28.6 kJ/mol of atoms.

---

Record 12
Density functional theory data (SCAN) for Al2FeAu at its PBEsol-relaxed geometry.

It has space group F-43m (No. 216), with a = 6.1044 Å, b = 6.1044 Å, c = 6.1044 Å, α = 90.00°, β = 90.00° and γ = 90.00°. The inequivalent atoms are Al at (0.0000, 0.0000, 0.0000), Al at (0.2500, 0.2500, 0.2500), Fe at (0.2500, 0.2500, 0.7500) and Au at (0.0000, 0.0000, 0.5000).

The calculation puts the total DFT energy (no corrections) at -25.871 eV/atom. The formation enthalpy at 0 K is -16.8 kJ/mol of atoms.

---

Q: Look up the formation enthalpy at 0 K of the fourth one.
A: -67.2 kJ/mol of atoms